Entry a
Compound: CrRh2S2
Source: Alexandria
Functional: PBE
Structure: relaxed

Values from the calculation:
As for the total moment: 0.0 μB per formula unit. As for the space group: P4/mbm, No. 127. Its density of states at the Fermi level is 5.9 states/eV/f.u.

Lattice parameters (Å, degrees): 6.2834 6.2834 3.5044 90.00 90.00 90.00
Last column: nearest neighbours and their distance in Å.
Element x y z (fractional)
Cr 0.0000 0.0000 0.0000  4 S 2.34
Cr 0.5000 0.5000 0.0000  4 S 2.34
Rh 0.1580 0.3420 0.5000  2 S 2.34
Rh 0.3420 0.8420 0.5000  2 S 2.34
Rh 0.6580 0.1580 0.5000  2 S 2.34
Rh 0.8420 0.6580 0.5000  2 S 2.34
S 0.1673 0.6673 0.0000  2 Cr 2.34, 2 Rh 2.34
S 0.3327 0.1673 0.0000  2 Cr 2.34, 2 Rh 2.34
S 0.6673 0.8327 0.0000  2 Cr 2.34, 2 Rh 2.34
S 0.8327 0.3327 0.0000  2 Cr 2.34, 2 Rh 2.34


Entry b
Compound: CrRh2S2
Source: Alexandria
Functional: PBE
Structure: relaxed

Values from the calculation:
As for the total moment: 0.4 μB per formula unit. As for the space group: I4/mmm, No. 139. Its density of states at the Fermi level is 5.7 states/eV/f.u.

Lattice parameters (Å, degrees): 6.0326 6.0326 6.0326 143.27 143.27 52.92
Last column: nearest neighbours and their distance in Å.
Element x y z (fractional)
Cr 0.0000 0.0000 0.0000  8 S 2.98, 8 Rh 3.30
Rh 0.2500 0.7500 0.5000  4 S 2.37
Rh 0.7500 0.2500 0.5000  4 S 2.37
S 0.3815 0.3815 0.0000  4 Rh 2.37, 1 S 2.56
S 0.6185 0.6185 0.0000  4 Rh 2.37, 1 S 2.56


Which structure is the least stable? The one labeled entry b.